The following is a PBE-GGA calculation of crystalline CrCoCl2 at its relaxed geometry, from Alexandria.

The value obtained for the calculated volume is 20.17 A^3/atom. The calculation puts the relative energy among the computed polymorphs at 245 meV/atom.

The structure belongs to space group Imm2 (No. 44); the cell edges are 3.117, 3.518 and 14.717 Å and the angles 90.00°, 90.00° and 90.00°. The inequivalent atoms are Cr at (0.000, 0.000, 0.000), Co at (0.000, 0.500, 0.360), Cl at (0.000, 0.000, 0.563) and Cl at (0.000, 0.500, 0.816).